The following is a PBE calculation of BaPF6 after structural relaxation, from Alexandria.

Results
- electronic total energy (Ry/atom) = -0.374
- E_form (uncorrected) (eV/atom) = -2.773
- size of the total moment (μB/f.u.) = 0.9

Structure (POSCAR):
```
BaPF6
1.0
-11.318 1.736 9.357
1.916 1.146 -6.039
4.915 -3.887 -1.477
F P Ba
6 1 1
Direct
0.405 0.143 0.143
0.595 0.857 0.857
0.924 0.187 0.849
0.076 0.151 0.813
0.076 0.813 0.151
0.924 0.849 0.187
0.000 0.000 0.000
0.500 0.000 0.000
```